1.
Entry from Alexandria: crystalline Sm6Dy3Tm2Th at its relaxed geometry (PBE).

POSCAR file:
```
Sm6Dy3Tm2Th
1.0
-3.6943 -4.3712 2.3815
6.1432 -0.8276 -0.0486
-0.0523 6.8186 9.7316
Tm Sm Dy Th
2 6 3 1
Direct
0.6667 0.3333 0.0000
0.3333 0.6667 0.0000
0.9167 0.5862 0.7511
0.2470 0.2470 0.7515
0.0833 0.4138 0.2489
0.7530 0.7530 0.2485
0.5862 0.9167 0.7511
0.4138 0.0833 0.2489
0.5000 0.5000 0.5000
0.1669 0.8330 0.5000
0.8330 0.1669 0.5000
0.0000 0.0000 0.0000
```

- size of the total moment (μB per cell) = 0.0
- uncorrected energy (eV for the cell shown) = -58.13

***

2.
Entry from Alexandria: crystalline Pr2NdIn3Hg6 at its relaxed geometry (PBE).

POSCAR file:
```
Pr2NdIn3Hg6
1.0
-2.4869 1.4131 -3.2462
-2.9404 -3.0339 0.9320
-9.3463 12.9958 12.8176
Hg In Pr Nd
6 3 2 1
Direct
0.0000 0.5000 0.3839
0.5000 0.0000 0.6161
0.0000 0.0000 0.1359
0.0000 0.0000 0.8641
0.5000 0.0000 0.3839
0.0000 0.5000 0.6161
0.0000 0.0000 0.2786
0.0000 0.0000 0.0000
0.0000 0.0000 0.7214
0.5000 0.5000 0.7839
0.5000 0.5000 0.2161
0.5000 0.5000 0.5000
```

- size of the total moment (μB per cell) = 0.0
- uncorrected energy (eV for the cell shown) = -25.56

***

3.
Entry from Alexandria: crystalline Cs3Tl4As2Pd2 at its relaxed geometry (PBE).

POSCAR file:
```
Cs3Tl4As2Pd2
1.0
-1.8411 2.4970 -3.7558
-2.8887 -2.8858 2.6567
-4.0918 15.3188 12.1904
Cs Tl As Pd
3 4 2 2
Direct
0.0000 0.0000 0.2969
0.0000 0.0000 0.0000
0.0000 0.0000 0.7031
0.3333 0.6667 0.4395
0.3333 0.6667 0.8531
0.6667 0.3333 0.1469
0.6667 0.3333 0.5605
0.3333 0.6667 0.1434
0.6667 0.3333 0.8566
0.6667 0.3333 0.4203
0.3333 0.6667 0.5797
```

- size of the total moment (μB per cell) = 0.0
- uncorrected energy (eV for the cell shown) = -32.85

***

4.
Entry from Alexandria: crystalline TiZnAg3 at its relaxed geometry (PBE).

POSCAR file:
```
TiZnAg3
1.0
4.7334 0.0000 0.0000
0.0000 4.7334 0.0000
0.0000 0.0000 4.7334
Zn Ag Ti
1 3 1
Direct
0.0000 0.0000 0.0000
0.0000 0.5000 0.0000
0.0000 0.0000 0.5000
0.5000 0.0000 0.0000
0.5000 0.5000 0.5000
```

- size of the total moment (μB per cell) = 0.1
- offset from the most stable computed form (meV per atom) = 0.0
- uncorrected energy (eV for the cell shown) = -14.06

***

> The highest size of the total moment belongs to which entry?

TiZnAg3

***

Please write out number 1 again, unchanged.
Entry from Alexandria: crystalline Sm6Dy3Tm2Th at its relaxed geometry (PBE).

POSCAR file:
```
Sm6Dy3Tm2Th
1.0
-3.6943 -4.3712 2.3815
6.1432 -0.8276 -0.0486
-0.0523 6.8186 9.7316
Tm Sm Dy Th
2 6 3 1
Direct
0.6667 0.3333 0.0000
0.3333 0.6667 0.0000
0.9167 0.5862 0.7511
0.2470 0.2470 0.7515
0.0833 0.4138 0.2489
0.7530 0.7530 0.2485
0.5862 0.9167 0.7511
0.4138 0.0833 0.2489
0.5000 0.5000 0.5000
0.1669 0.8330 0.5000
0.8330 0.1669 0.5000
0.0000 0.0000 0.0000
```

- size of the total moment (μB per cell) = 0.0
- uncorrected energy (eV for the cell shown) = -58.13